{"formula": "Zr2NiRh", "functional": "PBE", "state": "relaxed", "cell": [[5.1546, -1.5389, 0.0000], [5.1546, 1.5389, 0.0000], [-1.0069, 0.0000, 4.4244]], "species": ["Zr", "Zr", "Ni", "Rh"], "frac_coords": [[0.0000, 0.0000, 0.0000], [0.2207, 0.2207, 0.6426], [0.7452, 0.7452, 0.1467], [0.4540, 0.4540, 0.4701]], "volume_a3_per_cell": 70.2, "formation_energy_mev_per_atom": -419, "rho_g_cm3": 8.139}

***

{"formula": "ScBeFeB2", "functional": "PBE", "state": "relaxed", "cell": [[-1.6645, 1.6645, 4.4530], [1.6645, -1.6645, 4.4530], [1.6645, 1.6645, -4.4530]], "species": ["Sc", "Be", "Fe", "B", "B"], "frac_coords": [[0.0000, 0.0000, 0.0000], [0.2500, 0.7500, 0.5000], [0.7500, 0.2500, 0.5000], [0.3981, 0.3981, 0.0000], [0.6019, 0.6019, 0.0000]], "volume_a3_per_cell": 49.3, "formation_energy_mev_per_atom": -453, "rho_g_cm3": 4.423}

***

{"formula": "Al5Cu4", "functional": "PBE", "state": "relaxed", "cell": [[-4.0383, 4.0383, 1.9506], [4.0383, -4.0383, 1.9506], [4.0383, 4.0383, -1.9506]], "species": ["Al", "Al", "Al", "Al", "Al", "Cu", "Cu", "Cu", "Cu"], "frac_coords": [[0.0000, 0.0000, 0.0000], [0.3290, 0.3290, 0.6581], [0.3290, 0.6710, 0.0000], [0.6710, 0.3290, 0.0000], [0.6710, 0.6710, 0.3419], [0.0000, 0.3324, 0.3324], [0.0000, 0.6676, 0.6676], [0.3324, 0.0000, 0.3324], [0.6676, 0.0000, 0.6676]], "volume_a3_per_cell": 127.2, "formation_energy_mev_per_atom": -66, "relative_energy_kj_per_mol_fu": 0, "rho_g_cm3": 5.078}

***

{"formula": "CrHgRu2", "functional": "PBE", "state": "relaxed", "cell": [[2.8264, 0.0000, 0.0000], [0.0000, 2.8264, 0.0000], [0.0000, 0.0000, 7.8865]], "species": ["Cr", "Hg", "Ru", "Ru"], "frac_coords": [[0.0000, 0.0000, 0.0000], [0.5000, 0.5000, 0.2767], [0.0000, 0.0000, 0.5578], [0.5000, 0.5000, 0.7726]], "volume_a3_per_cell": 63.0, "formation_energy_mev_per_atom": 363, "rho_g_cm3": 11.985}

***

{"formula": "LiEr2Cd2", "functional": "PBE", "state": "relaxed", "cell": [[-3.8149, 6.0515, 2.7841], [3.8149, -6.0515, 2.7841], [3.8149, 6.0515, -2.7841]], "species": ["Li", "Li", "Er", "Er", "Er", "Er", "Cd", "Cd", "Cd", "Cd"], "frac_coords": [[0.2500, 0.2500, 0.0000], [0.7500, 0.7500, 0.0000], [0.1990, 0.6517, 0.8506], [0.3010, 0.1517, 0.4527], [0.6990, 0.8483, 0.5473], [0.8010, 0.3483, 0.1494], [0.0632, 0.3072, 0.3704], [0.4368, 0.8072, 0.2440], [0.5632, 0.1928, 0.7560], [0.9368, 0.6928, 0.6296]], "volume_a3_per_cell": 257.1, "formation_energy_mev_per_atom": -84, "rho_g_cm3": 7.315}

***

{"formula": "LiCeGaGe2", "functional": "PBE", "state": "relaxed", "cell": [[-2.0513, 2.0513, 5.7933], [2.0513, -2.0513, 5.7933], [2.0513, 2.0513, -5.7933]], "species": ["Li", "Ce", "Ga", "Ge", "Ge"], "frac_coords": [[0.0000, 0.0000, 0.0000], [0.2500, 0.7500, 0.5000], [0.5000, 0.5000, 0.0000], [0.6389, 0.1389, 0.5000], [0.8611, 0.3611, 0.5000]], "volume_a3_per_cell": 97.5, "formation_energy_mev_per_atom": -511, "rho_g_cm3": 6.166}